[1]
Density functional theory data (PBEsol) for a relaxed CuPtAu2 crystal.

POSCAR file:
```
CuPtAu2
1.0
2.908 0.000 0.000
0.000 4.677 0.042
0.000 -1.401 4.463
Au Cu Pt
2 1 1
Direct
0.000 0.500 0.000
0.000 0.000 0.500
0.500 0.000 0.000
0.500 0.500 0.500
```

## Properties
Calculated density (g/cm³): 17.80
Crystal system: orthorhombic
Space group: Cmmm
N(E_F) (states/eV per cell): 1.31
Final energy (Ha/atom): -0.1765
ΔE_f (eV per atom): -0.018

[2]
Density functional theory data (PBEsol) for a relaxed CsBe4B3O9 crystal.

POSCAR file:
```
CsBe4B3O9
1.0
-1.216 -6.324 -0.168
8.243 -1.559 -0.965
1.434 -0.628 13.272
B O Cs Be
12 36 4 16
Direct
0.806 0.325 0.033
0.312 0.453 0.250
0.306 0.175 0.967
0.812 0.047 0.750
0.306 0.175 0.533
0.194 0.675 0.533
0.194 0.675 0.967
0.806 0.325 0.467
0.688 0.547 0.750
0.188 0.953 0.250
0.694 0.825 0.467
0.694 0.825 0.033
0.682 0.738 0.943
0.160 0.053 0.535
0.854 0.971 0.662
0.182 0.762 0.057
0.318 0.262 0.443
0.577 0.793 0.114
0.340 0.553 0.535
0.682 0.738 0.557
0.146 0.029 0.162
0.354 0.529 0.162
0.146 0.029 0.338
0.923 0.293 0.114
0.660 0.447 0.035
0.077 0.707 0.614
0.182 0.762 0.443
0.818 0.238 0.943
0.340 0.553 0.965
0.077 0.707 0.886
0.772 0.697 0.750
0.160 0.053 0.965
0.728 0.197 0.750
0.854 0.971 0.838
0.577 0.793 0.386
0.318 0.262 0.057
0.423 0.207 0.614
0.228 0.303 0.250
0.646 0.471 0.838
0.646 0.471 0.662
0.423 0.207 0.886
0.272 0.803 0.250
0.923 0.293 0.386
0.660 0.447 0.465
0.840 0.947 0.035
0.818 0.238 0.557
0.840 0.947 0.465
0.354 0.529 0.338
0.339 0.922 0.750
0.661 0.078 0.250
0.839 0.578 0.250
0.161 0.422 0.750
0.857 0.776 0.857
0.410 0.438 0.442
0.590 0.562 0.942
0.090 0.938 0.442
0.643 0.276 0.857
0.090 0.938 0.058
0.643 0.276 0.643
0.410 0.438 0.058
0.910 0.062 0.558
0.357 0.724 0.143
0.910 0.062 0.942
0.357 0.724 0.357
0.143 0.224 0.357
0.590 0.562 0.558
0.857 0.776 0.643
0.143 0.224 0.143
```

## Properties
Calculated density (g/cm³): 3.16
Crystal system: orthorhombic
Space group: Pnma
N(E_F) (states/eV per cell): 0.00
Final energy (Ha/atom): -0.2798
Formation energy without anion corrections (eV/atom): -2.6001

[3]
Density functional theory data (PBEsol) for a relaxed CoRe2W crystal.

POSCAR file:
```
CoRe2W
1.0
-3.237 -1.004 1.728
1.889 -0.460 3.270
0.018 4.387 -1.605
W Co Re
1 1 2
Direct
0.500 0.500 0.000
0.000 0.000 0.000
0.750 0.250 0.500
0.250 0.750 0.500
```

## Properties
Calculated density (g/cm³): 18.48
Crystal system: tetragonal
Space group: I4/mmm
N(E_F) (states/eV per cell): 3.66
Final energy (Ha/atom): -0.4388
ΔE_f (eV per atom): 0.112

[4]
Density functional theory data (PBEsol) for a relaxed LiAl2Cr2 crystal.

POSCAR file:
```
LiAl2Cr2
1.0
-1.419 2.164 -1.355
-5.691 -4.356 -0.998
-2.760 2.155 6.332
Cr Al Li
4 4 2
Direct
0.500 0.838 0.338
0.500 0.162 0.662
0.500 0.662 0.838
0.500 0.338 0.162
0.000 0.634 0.134
0.000 0.366 0.866
0.000 0.134 0.366
0.000 0.866 0.634
0.000 0.500 0.500
0.000 0.000 0.000
```

## Properties
Calculated density (g/cm³): 3.58
Crystal system: tetragonal
Space group: P4/mbm
N(E_F) (states/eV per cell): 7.42
Final energy (Ha/atom): -0.2152
ΔE_f (eV per atom): 0.270

[5]
Density functional theory data (PBEsol) for a relaxed ScBeSCl2 crystal.

POSCAR file:
```
ScBeSCl2
1.0
4.242 0.000 0.000
0.000 4.242 0.000
0.000 0.000 4.725
Sc Cl Be S
1 2 1 1
Direct
0.500 0.500 0.500
0.500 0.000 0.000
0.000 0.500 0.000
0.000 0.000 0.000
0.000 0.000 0.500
```

## Properties
Calculated density (g/cm³): 3.07
Crystal system: tetragonal
Space group: P4/mmm
N(E_F) (states/eV per cell): 3.84
Final energy (Ha/atom): -0.1708
Formation energy without anion corrections (eV/atom): -0.8465

[6]
Density functional theory data (PBEsol) for a relaxed Be3CrNi crystal.

POSCAR file:
```
Be3CrNi
1.0
-1.754 -3.407 -0.534
-0.056 -0.571 3.827
-3.449 1.742 0.210
Be Ni Cr
3 1 1
Direct
0.000 0.000 0.500
0.500 0.000 0.000
0.000 0.500 0.000
0.000 0.000 0.000
0.500 0.500 0.500
```

## Properties
Calculated density (g/cm³): 3.95
Crystal system: cubic
Space group: Pm-3m
N(E_F) (states/eV per cell): 2.32
Final energy (Ha/atom): -0.1893
ΔE_f (eV per atom): 0.529

[7]
Density functional theory data (PBEsol) for a relaxed Fe2PtSe crystal.

POSCAR file:
```
Fe2PtSe
1.0
-3.038 -1.631 1.428
2.090 -1.547 2.677
-0.143 4.768 0.266
Fe Se Pt
2 1 1
Direct
0.000 0.000 0.000
0.750 0.250 0.500
0.250 0.750 0.500
0.500 0.500 0.000
```

## Properties
Calculated density (g/cm³): 11.55
Crystal system: tetragonal
Space group: I-4m2
N(E_F) (states/eV per cell): 4.67
Final energy (Ha/atom): -0.2557
Formation energy without anion corrections (eV/atom): 0.2271

[8]
Density functional theory data (PBEsol) for a relaxed Na2Si2As crystal.

POSCAR file:
```
Na2Si2As
1.0
4.738 0.000 0.000
0.000 6.667 0.000
0.000 0.000 6.667
Na Si As
4 4 2
Direct
0.500 0.179 0.679
0.500 0.321 0.179
0.500 0.821 0.321
0.500 0.679 0.821
0.000 0.121 0.379
0.000 0.621 0.121
0.000 0.379 0.879
0.000 0.879 0.621
0.000 0.000 0.000
0.000 0.500 0.500
```

## Properties
Calculated density (g/cm³): 2.79
Crystal system: tetragonal
Space group: P4/mbm
N(E_F) (states/eV per cell): 5.47
Final energy (Ha/atom): -0.1396
Formation energy without anion corrections (eV/atom): 0.0810

[9]
Density functional theory data (PBEsol) for a relaxed YCdAg2 crystal.

POSCAR file:
```
YCdAg2
1.0
-0.410 -0.576 -3.424
3.412 -0.701 -0.291
-1.225 -6.472 1.236
Cd Ag Y
1 2 1
Direct
0.500 0.500 0.000
0.000 0.000 0.770
0.000 0.000 0.230
0.500 0.500 0.500
```

## Properties
Calculated density (g/cm³): 8.46
Crystal system: tetragonal
Space group: P4/mmm
N(E_F) (states/eV per cell): 2.00
Final energy (Ha/atom): -0.1426
ΔE_f (eV per atom): -0.220